CdOs2Cl: optimized geometry, GGA-PBE.

Properties
* E_form (uncorrected): 525 meV per atom
* V: 164.93 Å³ per cell
* E_tot: -5.780 eV per atom

a = 7.6234 Å, b = 2.8457 Å, c = 8.0835 Å
α = 90.00°, β = 109.86°, γ = 90.00°
With the nearest neighbours (Å) after each atom.
Space group Cm (No. 8)
Unique sites:
Cd1 0.0000 0.0000 0.0000  2 Cd 2.85, 3 Os 2.86-3.13, 2 Cl 3.06
Os1 0.0655 0.5000 0.4187  3 Os 2.37-2.52, 2 Cl 2.53
Os2 0.2831 0.5000 0.2672  3 Os 2.37-2.52
Cl1 0.2148 0.0000 0.6892  2 Os 2.53